VASP calculation (PBE) on a relaxed structure of LaDy5Al4.

a b c (Å): 3.573 3.573 19.979
angles (deg): 90.00 90.00 90.00
Atoms (fractional coordinates):
1 La 0.000 0.000 0.000
2 Dy 0.500 0.500 0.135
3 Dy 0.500 0.500 0.318
4 Dy 0.500 0.500 0.500
5 Dy 0.500 0.500 0.682
6 Dy 0.500 0.500 0.865
7 Al 0.000 0.000 0.225
8 Al 0.000 0.000 0.409
9 Al 0.000 0.000 0.591
10 Al 0.000 0.000 0.775

Calculated values
- DFT formation energy (eV/f.u.) = -3.1
- volume (Å³ per atom) = 25.51
- total moment (μB per cell) = 0.00
- SG = P4/mmm, No. 123

=====

VASP calculation (PBE) on a relaxed structure of LaDyAl2.

a b c (Å): 6.821 6.821 7.063
angles (deg): 90.00 90.00 139.25
Atoms (fractional coordinates):
1 La 0.064 0.936 0.750
2 La 0.936 0.064 0.250
3 Dy 0.220 0.780 0.250
4 Dy 0.780 0.220 0.750
5 Al 0.399 0.601 0.565
6 Al 0.399 0.601 0.935
7 Al 0.601 0.399 0.065
8 Al 0.601 0.399 0.435

Calculated values
- DFT formation energy (eV/f.u.) = -1.5
- volume (Å³ per atom) = 26.81
- total moment (μB per cell) = 0.00
- polymorph energy (0 for the lowest one) (kJ/mol of formula units) = 2.3
- SG = Cmcm, No. 63

=====

VASP calculation (PBE) on a relaxed structure of LaDy2Al.

a b c (Å): 6.310 6.310 6.310
angles (deg): 47.62 47.62 47.62
Atoms (fractional coordinates):
1 La 0.000 0.000 0.000
2 Dy 0.554 0.554 0.554
3 Dy 0.787 0.787 0.787
4 Al 0.200 0.200 0.200

Calculated values
- DFT formation energy (eV/f.u.) = 0.1
- volume (Å³ per atom) = 31.37
- total moment (μB per cell) = 0.00
- polymorph energy (0 for the lowest one) (kJ/mol of formula units) = 77.8
- SG = R3m, No. 160

=====

VASP calculation (PBE) on a relaxed structure of La3DyAl4.

a b c (Å): 3.747 3.747 15.042
angles (deg): 90.00 90.00 90.00
Atoms (fractional coordinates):
1 La 0.000 0.000 0.000
2 La 0.000 0.000 0.257
3 La 0.000 0.000 0.743
4 Dy 0.000 0.000 0.500
5 Al 0.500 0.500 0.128
6 Al 0.500 0.500 0.390
7 Al 0.500 0.500 0.610
8 Al 0.500 0.500 0.872

Calculated values
- DFT formation energy (eV/f.u.) = -3.0
- volume (Å³ per atom) = 26.39
- total moment (μB per cell) = 0.00
- SG = P4/mmm, No. 123

=====

VASP calculation (PBE) on a relaxed structure of LaDy2Al.

a b c (Å): 3.551 3.551 9.184
angles (deg): 90.00 90.00 90.00
Atoms (fractional coordinates):
1 La 0.000 0.000 0.000
2 Dy 0.500 0.500 0.294
3 Dy 0.500 0.500 0.706
4 Al 0.000 0.000 0.500

Calculated values
- DFT formation energy (eV/f.u.) = -0.7
- volume (Å³ per atom) = 28.95
- total moment (μB per cell) = 0.00
- polymorph energy (0 for the lowest one) (kJ/mol of formula units) = 0.0
- SG = P4/mmm, No. 123

=====

VASP calculation (PBE) on a relaxed structure of La6DyAl.

a b c (Å): 5.071 5.071 10.306
angles (deg): 90.00 90.00 90.00
Atoms (fractional coordinates):
1 La 0.000 0.000 0.000
2 La 0.000 0.000 0.500
3 La 0.000 0.500 0.240
4 La 0.000 0.500 0.760
5 La 0.500 0.000 0.240
6 La 0.500 0.000 0.760
7 Dy 0.500 0.500 0.500
8 Al 0.500 0.500 0.000

Calculated values
- DFT formation energy (eV/f.u.) = -0.5
- volume (Å³ per atom) = 33.13
- total moment (μB per cell) = 0.00
- polymorph energy (0 for the lowest one) (kJ/mol of formula units) = 0.0
- SG = P4/mmm, No. 123